{"formula": "NdEr4Tm2", "functional": "PBE", "state": "relaxed", "cell": [[6.019, 0.000, 0.000], [2.494, 7.913, 0.000], [1.893, -0.363, 9.217]], "species": ["Nd", "Nd", "Er", "Er", "Er", "Er", "Er", "Er", "Er", "Er", "Tm", "Tm", "Tm", "Tm"], "fractional_positions": [[0.000, 0.000, 0.000], [0.280, 0.159, 0.267], [0.267, 0.271, 0.910], [0.367, 0.740, 0.426], [0.470, 0.321, 0.557], [0.556, 0.892, 0.720], [0.606, 0.790, 0.070], [0.676, 0.469, 0.846], [0.732, 0.383, 0.202], [0.812, 0.946, 0.364], [0.017, 0.110, 0.639], [0.119, 0.665, 0.775], [0.167, 0.599, 0.142], [0.914, 0.530, 0.496]], "relative_energy_ev_per_fu": 0.25, "e_tot_ev_per_atom": -4.50, "sg": "P1, No. 1", "mass_density_g_cm3": 8.71, "magmom_total_mub_per_cell": 0.0, "volume_a3_per_atom": 31.36, "formation_energy_ev_per_atom": 0.0692}

{"formula": "Sn2HgPb5", "functional": "PBE", "state": "relaxed", "cell": [[-4.337, 4.337, 6.420], [4.337, -4.337, 6.420], [4.337, 4.337, -6.420]], "species": ["Sn", "Sn", "Sn", "Sn", "Hg", "Hg", "Pb", "Pb", "Pb", "Pb", "Pb", "Pb", "Pb", "Pb", "Pb", "Pb"], "fractional_positions": [[0.143, 0.643, 0.787], [0.357, 0.143, 0.500], [0.643, 0.857, 0.500], [0.857, 0.357, 0.213], [0.250, 0.250, 0.000], [0.750, 0.750, 0.000], [0.000, 0.000, 0.000], [0.012, 0.806, 0.500], [0.194, 0.694, 0.206], [0.306, 0.512, 0.500], [0.488, 0.988, 0.794], [0.500, 0.500, 0.000], [0.512, 0.012, 0.206], [0.694, 0.488, 0.500], [0.806, 0.306, 0.794], [0.988, 0.194, 0.500]], "e_tot_ev_per_atom": -3.30, "sg": "I4/mcm, No. 140", "mass_density_g_cm3": 10.13, "magmom_total_mub_per_cell": 0.0, "volume_a3_per_atom": 30.20, "formation_energy_ev_per_atom": 0.0595}

{"formula": "La6Tc2IrI3", "functional": "PBE", "state": "relaxed", "cell": [[3.727, -6.139, 0.000], [3.727, 6.139, 0.000], [-2.321, 0.000, 8.357]], "species": ["La", "La", "La", "La", "La", "La", "Tc", "Tc", "Ir", "I", "I", "I"], "fractional_positions": [[0.073, 0.404, 0.177], [0.255, 0.255, 0.790], [0.404, 0.073, 0.177], [0.596, 0.927, 0.823], [0.745, 0.745, 0.210], [0.927, 0.596, 0.823], [0.375, 0.625, 0.000], [0.625, 0.375, 0.000], [0.000, 0.000, 0.000], [0.175, 0.825, 0.500], [0.500, 0.500, 0.500], [0.825, 0.175, 0.500]], "e_tot_ev_per_atom": -6.00, "sg": "C2/m, No. 12", "raw_formation_energy_ev_per_atom": -0.680, "mass_density_g_cm3": 6.96, "magmom_total_mub_per_cell": 0.0, "volume_a3_per_atom": 31.87}

{"formula": "Dy2TmIn3", "functional": "PBE", "state": "relaxed", "cell": [[3.544, 0.000, 0.000], [0.000, 3.544, 0.000], [0.000, 0.000, 12.496]], "species": ["Dy", "Dy", "Tm", "In", "In", "In"], "fractional_positions": [[0.000, 0.000, 0.168], [0.000, 0.000, 0.832], [0.000, 0.000, 0.500], [0.500, 0.500, 0.000], [0.500, 0.500, 0.336], [0.500, 0.500, 0.664]], "e_tot_ev_per_atom": -4.10, "sg": "P4/mmm, No. 123", "mass_density_g_cm3": 8.87, "magmom_total_mub_per_cell": 0.0, "volume_a3_per_atom": 26.16, "formation_energy_ev_per_atom": -0.4541}